Entry 1:
This record from Alexandria via LeMat-Bulk describes a geometry-optimized LiCaIn2 structure. The functional is PBE.

Cell: 3.9811 5.1506 10.1548 Å, 90.00 90.00 90.00°
Fractional coordinates of all 8 atoms:
Li (0.0000, 0.0000, 0.0000)
Li (0.5000, 0.5000, 0.5000)
Ca (0.0000, 0.5000, 0.7699)
Ca (0.5000, 0.0000, 0.2699)
In (0.0000, 0.0000, 0.5299)
In (0.0000, 0.5000, 0.2617)
In (0.5000, 0.0000, 0.7617)
In (0.5000, 0.5000, 0.0299)

Results
Uncorrected energy: -20.883 eV/cell
Calculated formation energy: -0.262 eV/atom
Spin magnetization: 0.00 μB per atom
Symmetry: No. 44
DOS(E_F): 0.399 states/eV per atom

=====

Entry 2:
This record from Alexandria via LeMat-Bulk describes a geometry-optimized Ce3MgBi3 structure. The functional is PBE.

Cell: 9.4479 9.4479 6.4134 Å, 90.00 90.00 120.00°
Fractional coordinates of all 14 atoms:
Ce (0.0825, 0.4030, 0.2500)
Ce (0.3205, 0.9175, 0.2500)
Ce (0.4030, 0.3205, 0.7500)
Ce (0.5970, 0.6795, 0.2500)
Ce (0.6795, 0.0825, 0.7500)
Ce (0.9175, 0.5970, 0.7500)
Mg (0.3333, 0.6667, 0.7500)
Mg (0.6667, 0.3333, 0.2500)
Bi (0.0625, 0.3380, 0.7500)
Bi (0.2755, 0.9375, 0.7500)
Bi (0.3380, 0.2755, 0.2500)
Bi (0.6620, 0.7245, 0.7500)
Bi (0.7245, 0.0625, 0.2500)
Bi (0.9375, 0.6620, 0.2500)

Results
Uncorrected energy: -68.659 eV/cell
Calculated formation energy: -0.470 eV/atom
Spin magnetization: 0.59 μB per atom
Symmetry: No. 176
DOS(E_F): 3.349 states/eV per atom

=====

Entry 3:
This record from Alexandria via LeMat-Bulk describes a geometry-optimized PrTi2H structure. The functional is PBE.

Cell: 3.1011 3.1011 24.7065 Å, 90.00 90.00 120.00°
Fractional coordinates of all 12 atoms:
Pr (0.0000, 0.0000, 0.0000)
Pr (0.3333, 0.6667, 0.6667)
Pr (0.6667, 0.3333, 0.3333)
Ti (0.0000, 0.0000, 0.1219)
Ti (0.0000, 0.0000, 0.8781)
Ti (0.3333, 0.6667, 0.5448)
Ti (0.3333, 0.6667, 0.7885)
Ti (0.6667, 0.3333, 0.2115)
Ti (0.6667, 0.3333, 0.4552)
H (0.0000, 0.0000, 0.5000)
H (0.3333, 0.6667, 0.1667)
H (0.6667, 0.3333, 0.8333)

Results
Uncorrected energy: -69.535 eV/cell
Spin magnetization: 0.00 μB per atom
Symmetry: No. 166
DOS(E_F): 1.228 states/eV per atom